# Li4BiPPd2 (PBE, relaxed)
data_Li4BiPPd2
_chemical_formula_sum 'Li4 Bi1 P1 Pd2'
_symmetry_space_group_name_H-M 'P -4 m 2'
_symmetry_Int_Tables_number 115
_symmetry_space_group_name_Hall 'P -4 -2'
_cell_length_a 4.2377
_cell_length_b 4.2377
_cell_length_c 6.6196
_cell_angle_alpha 90.00
_cell_angle_beta 90.00
_cell_angle_gamma 90.00
loop_
_atom_site_label
_atom_site_type_symbol
_atom_site_fract_x
_atom_site_fract_y
_atom_site_fract_z
Li1 Li 0.0000 0.0000 0.0000
Li2 Li 0.0000 0.5000 0.2096
Li3 Li 0.5000 0.5000 0.5000
Bi1 Bi 0.0000 0.0000 0.5000
P1 P 0.5000 0.5000 0.0000
Pd1 Pd 0.0000 0.5000 0.7933
# E_tot   -32.10 eV per cell
# Mass density   6.71 g/cm3
# V   119 Å³/f.u.

# Li2PaBi (PBE, relaxed)
data_Li2PaBi
_chemical_formula_sum 'Li8 Pa4 Bi4'
_symmetry_space_group_name_H-M 'C 1 2/m 1'
_symmetry_Int_Tables_number 12
_symmetry_space_group_name_Hall '-C 2y'
_cell_length_a 5.5195
_cell_length_b 3.2494
_cell_length_c 20.9273
_cell_angle_alpha 90.00
_cell_angle_beta 90.70
_cell_angle_gamma 90.00
loop_
_atom_site_label
_atom_site_type_symbol
_atom_site_fract_x
_atom_site_fract_y
_atom_site_fract_z
Li1 Li 0.0730 0.0000 0.1367
Li2 Li 0.0897 0.0000 0.3635
Pa1 Pa 0.0000 0.5000 0.0000
Pa2 Pa 0.0000 0.5000 0.5000
Bi1 Bi 0.0714 0.5000 0.7499
# E_tot   -68.34 eV per cell
# Total magnetization   0.07 μB/f.u.
# Mass density   8.03 g/cm3
# V   94 Å³/f.u.

# Li4BiPd2Pb (PBE, relaxed)
data_Li4BiPd2Pb
_chemical_formula_sum 'Li4 Bi1 Pd2 Pb1'
_symmetry_space_group_name_H-M 'P -4 m 2'
_symmetry_Int_Tables_number 115
_symmetry_space_group_name_Hall 'P -4 -2'
_cell_length_a 4.5914
_cell_length_b 4.5914
_cell_length_c 6.4839
_cell_angle_alpha 90.00
_cell_angle_beta 90.00
_cell_angle_gamma 90.00
loop_
_atom_site_label
_atom_site_type_symbol
_atom_site_fract_x
_atom_site_fract_y
_atom_site_fract_z
Li1 Li 0.0000 0.0000 0.0000
Li2 Li 0.0000 0.5000 0.2494
Li3 Li 0.5000 0.5000 0.5000
Bi1 Bi 0.0000 0.0000 0.5000
Pd1 Pd 0.0000 0.5000 0.7504
Pb1 Pb 0.5000 0.5000 0.0000
# E_tot   -29.58 eV per cell
# Mass density   7.98 g/cm3
# V   137 Å³/f.u.

# Li4BiPt2Pb (PBE, relaxed)
data_Li4BiPt2Pb
_chemical_formula_sum 'Li4 Bi1 Pt2 Pb1'
_symmetry_space_group_name_H-M 'P -4 m 2'
_symmetry_Int_Tables_number 115
_symmetry_space_group_name_Hall 'P -4 -2'
_cell_length_a 4.6026
_cell_length_b 4.6026
_cell_length_c 6.5073
_cell_angle_alpha 90.00
_cell_angle_beta 90.00
_cell_angle_gamma 90.00
loop_
_atom_site_label
_atom_site_type_symbol
_atom_site_fract_x
_atom_site_fract_y
_atom_site_fract_z
Li1 Li 0.0000 0.0000 0.0000
Li2 Li 0.0000 0.5000 0.7490
Li3 Li 0.5000 0.5000 0.5000
Bi1 Bi 0.5000 0.5000 0.0000
Pt1 Pt 0.0000 0.5000 0.2502
Pb1 Pb 0.0000 0.0000 0.5000
# E_tot   -31.48 eV per cell
# Total magnetization   0.00 μB/f.u.
# Mass density   10.05 g/cm3
# V   138 Å³/f.u.

# LiBiPd4 (PBE, relaxed)
data_LiBiPd4
_chemical_formula_sum 'Li2 Bi2 Pd8'
_symmetry_space_group_name_H-M 'C 1 2/m 1'
_symmetry_Int_Tables_number 12
_symmetry_space_group_name_Hall '-C 2y'
_cell_length_a 4.8130
_cell_length_b 9.0283
_cell_length_c 4.7850
_cell_angle_alpha 90.00
_cell_angle_beta 105.57
_cell_angle_gamma 90.00
loop_
_atom_site_label
_atom_site_type_symbol
_atom_site_fract_x
_atom_site_fract_y
_atom_site_fract_z
Li1 Li 0.0000 0.0000 0.0000
Bi1 Bi 0.0000 0.5000 0.5000
Pd1 Pd 0.0000 0.1621 0.5000
Pd2 Pd 0.0000 0.3338 0.0000
# E_tot   -57.38 eV per cell
# Mass density   10.64 g/cm3
# V   100 Å³/f.u.

# Li4Bi2PdPt (PBE, relaxed)
data_Li4Bi2PdPt
_chemical_formula_sum 'Li4 Bi2 Pd1 Pt1'
_symmetry_space_group_name_H-M 'P -4 m 2'
_symmetry_Int_Tables_number 115
_symmetry_space_group_name_Hall 'P -4 -2'
_cell_length_a 4.6178
_cell_length_b 4.6178
_cell_length_c 6.5251
_cell_angle_alpha 90.00
_cell_angle_beta 90.00
_cell_angle_gamma 90.00
loop_
_atom_site_label
_atom_site_type_symbol
_atom_site_fract_x
_atom_site_fract_y
_atom_site_fract_z
Li1 Li 0.0000 0.0000 0.0000
Li2 Li 0.0000 0.5000 0.2488
Li3 Li 0.5000 0.5000 0.5000
Bi1 Bi 0.0000 0.5000 0.7504
Pd1 Pd 0.0000 0.0000 0.5000
Pt1 Pt 0.5000 0.5000 0.0000
# E_tot   -31.16 eV per cell
# Total magnetization   0.00 μB/f.u.
# Mass density   8.92 g/cm3
# V   139 Å³/f.u.

# Li4BiSbPd2 (PBE, relaxed)
data_Li4BiSbPd2
_chemical_formula_sum 'Li4 Bi1 Sb1 Pd2'
_symmetry_space_group_name_H-M 'P -4 m 2'
_symmetry_Int_Tables_number 115
_symmetry_space_group_name_Hall 'P -4 -2'
_cell_length_a 4.5347
_cell_length_b 4.5347
_cell_length_c 6.4486
_cell_angle_alpha 90.00
_cell_angle_beta 90.00
_cell_angle_gamma 90.00
loop_
_atom_site_label
_atom_site_type_symbol
_atom_site_fract_x
_atom_site_fract_y
_atom_site_fract_z
Li1 Li 0.0000 0.0000 0.0000
Li2 Li 0.0000 0.5000 0.2395
Li3 Li 0.5000 0.5000 0.5000
Bi1 Bi 0.0000 0.0000 0.5000
Sb1 Sb 0.5000 0.5000 0.0000
Pd1 Pd 0.0000 0.5000 0.7657
# E_tot   -30.91 eV per cell
# Mass density   7.15 g/cm3
# V   133 Å³/f.u.

# Li4ZnBiPd2 (PBE, relaxed)
data_Li4ZnBiPd2
_chemical_formula_sum 'Li4 Zn1 Bi1 Pd2'
_symmetry_space_group_name_H-M 'P -4 m 2'
_symmetry_Int_Tables_number 115
_symmetry_space_group_name_Hall 'P -4 -2'
_cell_length_a 4.4552
_cell_length_b 4.4552
_cell_length_c 6.3089
_cell_angle_alpha 90.00
_cell_angle_beta 90.00
_cell_angle_gamma 90.00
loop_
_atom_site_label
_atom_site_type_symbol
_atom_site_fract_x
_atom_site_fract_y
_atom_site_fract_z
Li1 Li 0.0000 0.0000 0.0000
Li2 Li 0.0000 0.5000 0.2227
Li3 Li 0.5000 0.5000 0.5000
Zn1 Zn 0.5000 0.5000 0.0000
Bi1 Bi 0.0000 0.0000 0.5000
Pd1 Pd 0.0000 0.5000 0.7742
# E_tot   -27.00 eV per cell
# Mass density   6.83 g/cm3
# V   125 Å³/f.u.

# LiPmBi (PBE, relaxed)
data_LiPmBi
_chemical_formula_sum 'Li4 Pm4 Bi4'
_symmetry_space_group_name_H-M 'F -4 3 m'
_symmetry_Int_Tables_number 216
_symmetry_space_group_name_Hall 'F -4 2 3'
_cell_length_a 6.7395
_cell_length_b 6.7395
_cell_length_c 6.7395
_cell_angle_alpha 90.00
_cell_angle_beta 90.00
_cell_angle_gamma 90.00
loop_
_atom_site_label
_atom_site_type_symbol
_atom_site_fract_x
_atom_site_fract_y
_atom_site_fract_z
Li1 Li 0.0000 0.0000 0.0000
Pm1 Pm 0.2500 0.2500 0.2500
Bi1 Bi 0.2500 0.2500 0.7500
# Total magnetization   0.00 μB/f.u.
# Mass density   7.83 g/cm3
# V   77 Å³/f.u.
# Relative energy among the computed polymorphs   0 meV per atom

# LiPmBi2 (PBE, relaxed)
data_LiPmBi2
_chemical_formula_sum 'Li2 Pm2 Bi4'
_symmetry_space_group_name_H-M 'P 4/n m m'
_symmetry_Int_Tables_number 129
_cell_length_a 4.5291
_cell_length_b 4.5291
_cell_length_c 10.5437
_cell_angle_alpha 90.00
_cell_angle_beta 90.00
_cell_angle_gamma 90.00
loop_
_symmetry_equiv_pos_as_xyz
'x,y,z'
'-x,-y,-z'
'-y+1/2,x,z'
'y+1/2,-x,-z'
'-x+1/2,-y+1/2,z'
'x+1/2,y+1/2,-z'
'y,-x+1/2,z'
'-y,x+1/2,-z'
'x+1/2,-y,-z'
'-x+1/2,y,z'
'-y,-x,-z'
'y,x,z'
'-x,y+1/2,-z'
'x,-y+1/2,z'
'y+1/2,x+1/2,-z'
'-y+1/2,-x+1/2,z'
loop_
_atom_site_label
_atom_site_type_symbol
_atom_site_fract_x
_atom_site_fract_y
_atom_site_fract_z
Li1 Li 0.2500 0.7500 0.0000
Pm1 Pm 0.2500 0.2500 0.2576
Bi1 Bi 0.2500 0.2500 0.8345
Bi2 Bi 0.2500 0.7500 0.5000
# E_tot   -34.96 eV per cell
# Total magnetization   0.00 μB/f.u.
# Mass density   8.75 g/cm3
# V   108 Å³/f.u.

# LiPmBi (PBE, relaxed)
data_LiPmBi
_chemical_formula_sum 'Li4 Pm4 Bi4'
_symmetry_space_group_name_H-M 'F -4 3 m'
_symmetry_Int_Tables_number 216
_symmetry_space_group_name_Hall 'F -4 2 3'
_cell_length_a 7.2951
_cell_length_b 7.2951
_cell_length_c 7.2951
_cell_angle_alpha 90.00
_cell_angle_beta 90.00
_cell_angle_gamma 90.00
loop_
_atom_site_label
_atom_site_type_symbol
_atom_site_fract_x
_atom_site_fract_y
_atom_site_fract_z
Li1 Li 0.0000 0.0000 0.0000
Pm1 Pm 0.2500 0.2500 0.7500
Bi1 Bi 0.0000 0.0000 0.5000
# Total magnetization   0.00 μB/f.u.
# Mass density   6.17 g/cm3
# V   97 Å³/f.u.
# Relative energy among the computed polymorphs   269 meV per atom

# LiPrBi (PBE, relaxed)
data_LiPrBi
_chemical_formula_sum 'Li4 Pr4 Bi4'
_symmetry_space_group_name_H-M 'F -4 3 m'
_symmetry_Int_Tables_number 216
_symmetry_space_group_name_Hall 'F -4 2 3'
_cell_length_a 6.7995
_cell_length_b 6.7995
_cell_length_c 6.7995
_cell_angle_alpha 90.00
_cell_angle_beta 90.00
_cell_angle_gamma 90.00
loop_
_atom_site_label
_atom_site_type_symbol
_atom_site_fract_x
_atom_site_fract_y
_atom_site_fract_z
Li1 Li 0.0000 0.0000 0.0000
Pr1 Pr 0.2500 0.2500 0.2500
Bi1 Bi 0.2500 0.2500 0.7500
# Total magnetization   0.01 μB/f.u.
# Mass density   7.54 g/cm3
# V   79 Å³/f.u.
# Relative energy among the computed polymorphs   0 meV per atom